No. 1
Material: La3Ru
Method: DFT, GGA-PBEsol
State: optimized geometry

Cell lengths 7.242, 9.908, 6.419 Å; angles 90.00, 90.00, 90.00 degrees
Space group Pnma (No. 62)
Symmetry-distinct sites (fractional):
La 0.048 0.250 0.150 x4
La 0.170 0.068 0.670 x8
Ru 0.121 0.750 0.439 x4

Properties
The value obtained for the total magnetic moment is 0.00 μB per formula unit. The energy of formation from the pure elements comes out at -0.1884 eV/atom.

No. 2
Material: KAlF4
Method: DFT, GGA-PBEsol
State: optimized geometry

Cell lengths 3.630, 3.630, 6.171 Å; angles 90.00, 90.00, 90.00 degrees
Space group P4/mmm (No. 123)
Symmetry-distinct sites (fractional):
K 0.000 0.000 0.000 x1
Al 0.500 0.500 0.500 x1
F 0.000 0.500 0.500 x2
F 0.500 0.500 0.212 x2

Properties
The uncorrected formation energy comes out at -20.25 eV per formula unit. The value obtained for the total magnetic moment is 0.00 μB per formula unit.